DFT (PBE) results for a relaxed structure of Sr2LiPrTe4.

ΔE_f (raw) ... -1.4879 eV/atom
Volume ... 34.7 Å³ per atom
Total DFT energy (no corrections) ... -4.316 eV per atom

Structure (extended XYZ):
```
8
Lattice="7.9502 0.0000 0.0000 0.0000 4.6375 0.0000 -2.6066 0.0000 7.5387" Properties=species:S:1:pos:R:3 pbc="T T T"
Sr 0.0000 0.0000 0.0000
Sr 3.9751 2.3188 0.0000
Li -1.3033 2.3188 3.7693
Pr 2.6718 0.0000 3.7693
Te 0.0264 0.0000 5.5308
Te 1.3000 2.3188 2.0050
Te 4.0436 2.3188 5.5336
Te 5.3172 0.0000 2.0079
```